Record 1
First-principles (GGA-PBE) data for a relaxed GaAgSnHg crystal, as listed in the Alexandria database.

POSCAR file:
```
GaAgSnHg
1.0
5.022 0.000 0.000
2.511 4.349 0.000
2.511 1.450 4.101
Ga Ag Hg Sn
1 1 1 1
Cartesian
0.000 0.000 0.000
5.022 2.900 2.050
7.533 4.349 3.075
2.511 1.450 1.025
```



Record 2
SrGaAg2Hg GGA-PBE optimized geometry; energy above the lowest structure with this stoichiometry = 107 meV/atom
1.0
-1.650 1.814 4.381
-1.917 -4.498 1.141
4.547 -1.361 2.276
Ag Ga Sr Hg
2 1 1 1
Cartesian
-0.959 -2.249 0.570
-0.825 0.907 2.191
0.000 0.000 0.000
0.490 -2.022 3.899
2.273 -0.680 1.138



Record 3
First-principles (GGA-PBE) data for a relaxed Sr2Ga4Ag3Hg crystal, as listed in the Alexandria database.

POSCAR file:
```
Sr2Ga4Ag3Hg
1.0
-1.090 1.598 4.103
3.107 -2.716 1.884
7.659 8.010 -1.085
Ga Ag Sr Hg
4 3 2 1
Cartesian
1.008 -0.559 2.993
4.331 5.898 1.361
4.337 1.553 0.548
0.000 0.000 0.000
3.829 4.005 -0.542
6.124 7.774 1.106
2.543 -0.323 0.802
1.352 2.784 1.782
7.315 4.667 0.126
4.838 3.446 2.451
```



Record 4
First-principles (GGA-PBE) data for a relaxed Sr2Ga4AgHg3 crystal, as listed in the Alexandria database.

POSCAR file:
```
Sr2Ga4AgHg3
1.0
-3.672 -2.157 1.678
2.688 -2.349 2.865
-1.237 8.304 7.968
Hg Ga Sr Ag
3 4 2 1
Cartesian
-0.618 4.152 3.984
-2.899 6.062 7.691
1.171 -0.011 2.548
-2.612 4.133 5.840
0.884 1.918 4.399
0.000 0.000 0.000
-0.492 -2.253 2.271
-2.152 1.045 2.876
0.424 5.006 7.363
-1.110 1.899 6.255
```



Here are the calculated total energy numbers, same order: -2.404; -2.270; -2.740; -2.243 (eV per atom).
Here are the calculated total magnetic moment numbers, same order: 0.000; 0.000; 0.000; 0.000 (μB per formula unit).
Here are the calculated calculated formation energy numbers, same order: 0.6; -0.6; -3.1; -3.2 (eV per formula unit).